# GGA+U CdWBrO4, optimized geometry
data_CdWBrO4
_chemical_formula_sum 'Cd4 W4 Br4 O16'
_cell_length_a 12.197
_cell_length_b 6.359
_cell_length_c 7.496
_cell_angle_alpha 90.00
_cell_angle_beta 106.70
_cell_angle_gamma 90.00
_symmetry_space_group_name_H-M 'C 1 2/m 1'
_symmetry_Int_Tables_number 12
loop_
_symmetry_equiv_pos_as_xyz
'x,y,z'
'-x,-y,-z'
'-x,y,-z'
'x,-y,z'
'x+1/2,y+1/2,z'
'-x+1/2,-y+1/2,-z'
'-x+1/2,y+1/2,-z'
'x+1/2,-y+1/2,z'
loop_
_atom_site_label
_atom_site_type_symbol
_atom_site_fract_x
_atom_site_fract_y
_atom_site_fract_z
_atom_site_occupancy
Cd1 Cd 0.190 0.000 0.244 1
W1 W 0.112 0.000 0.695 1
Br1 Br 0.043 0.500 0.158 1
O1 O 0.054 0.000 0.385 1
O2 O 0.126 0.000 0.942 1
O3 O 0.190 0.236 0.670 1
# E_tot in eV per atom: -5.623
# Theoretical density in g/cm³: 5.2
# Crystal system: monoclinic